1.
{
  "formula": "Dy2Zn2Cd3",
  "functional": "GGA-PBE",
  "state": "optimized geometry",
  "cell": [[-2.5078, 3.0328, 1.7438], [-0.3754, -4.9688, 2.7893], [6.0846, 3.9076, 1.9546]],
  "species": ["Dy", "Dy", "Zn", "Zn", "Cd", "Cd", "Cd"],
  "fractional_positions": [[0.8578, 0.7157, 0.2145], [0.1422, 0.2843, 0.7855], [0.8450, 0.6899, 0.8022], [0.1550, 0.3101, 0.1978], [0.5000, 0.0000, 0.0000], [0.6203, 0.2407, 0.4382], [0.3797, 0.7593, 0.5618]],
  "vol_a3_per_atom": 22.2,
  "sg": "C2/m (12)",
  "crystal_system": "monoclinic",
  "e_above_lowest_polymorph_ev_per_atom": 0.000,
  "energy_ry_per_atom": -0.1731
}

---

2.
{
  "formula": "LaPuO5",
  "functional": "GGA-PBE",
  "state": "optimized geometry",
  "cell": [[5.4533, 0.0395, 2.0861], [1.2534, 5.3074, 2.0861], [-0.0474, -0.0378, 8.2582]],
  "species": ["La", "La", "Pu", "Pu", "O", "O", "O", "O", "O", "O", "O", "O", "O", "O"],
  "fractional_positions": [[0.5449, 0.4551, 0.2500], [0.4551, 0.5449, 0.7500], [0.0000, 0.0000, 0.0000], [0.0000, 0.0000, 0.5000], [0.7889, 0.7716, 0.1111], [0.2885, 0.7011, 0.4678], [0.7716, 0.7889, 0.6111], [0.9064, 0.0936, 0.2500], [0.2989, 0.7115, 0.0322], [0.7011, 0.2885, 0.9678], [0.0936, 0.9064, 0.7500], [0.2284, 0.2111, 0.3889], [0.7115, 0.2989, 0.5322], [0.2111, 0.2284, 0.8889]],
  "vol_a3_per_atom": 17.1,
  "sg": "C2/c (15)",
  "e_form_raw_ev_per_atom": -2.804,
  "crystal_system": "monoclinic",
  "energy_ry_per_atom": -0.6686
}

---

3.
{
  "formula": "Nd4SbAu",
  "functional": "GGA-PBE",
  "state": "optimized geometry",
  "cell": [[-2.8241, 1.2943, -4.7573], [-1.9347, -6.1478, -0.5241], [-7.2517, 1.5890, 8.1302]],
  "species": ["Nd", "Nd", "Nd", "Nd", "Nd", "Nd", "Nd", "Nd", "Sb", "Sb", "Au", "Au"],
  "fractional_positions": [[0.8850, 0.3222, 0.7700], [0.1150, 0.8222, 0.2300], [0.4434, 0.8223, 0.8869], [0.5566, 0.3223, 0.1131], [0.7077, 0.5696, 0.4153], [0.2923, 0.0696, 0.5847], [0.7076, 0.0748, 0.4153], [0.2924, 0.5748, 0.5847], [0.8478, 0.8222, 0.6956], [0.1522, 0.3222, 0.3044], [0.5803, 0.8223, 0.1607], [0.4197, 0.3223, 0.8393]],
  "vol_a3_per_atom": 32.6,
  "sg": "Cmcm (63)",
  "e_form_raw_ev_per_atom": -0.512,
  "crystal_system": "orthorhombic",
  "energy_ry_per_atom": -0.3619
}

---

4.
{
  "formula": "CsKCr2Br8",
  "functional": "GGA-PBE",
  "state": "optimized geometry",
  "cell": [[7.2870, 0.0000, 0.0000], [3.6435, 6.3107, 0.0000], [3.6435, 2.1036, 10.3708]],
  "species": ["Cs", "K", "Cr", "Cr", "Br", "Br", "Br", "Br", "Br", "Br", "Br", "Br"],
  "fractional_positions": [[0.5000, 0.5000, 0.5000], [0.0000, 0.0000, 0.0000], [0.2480, 0.2480, 0.2561], [0.7520, 0.7520, 0.7439], [0.1726, 0.1726, 0.4822], [0.5584, 0.3140, 0.1944], [0.8274, 0.8274, 0.5178], [0.9331, 0.5584, 0.1944], [0.0669, 0.4416, 0.8056], [0.3140, 0.9331, 0.1944], [0.6860, 0.0669, 0.8056], [0.4416, 0.6860, 0.8056]],
  "vol_a3_per_atom": 39.7,
  "sg": "R-3 (148)",
  "e_form_raw_ev_per_atom": -0.974,
  "crystal_system": "trigonal",
  "energy_ry_per_atom": -0.2834
}

---

5.
{
  "formula": "InSb8",
  "functional": "GGA-PBE",
  "state": "optimized geometry",
  "cell": [[-4.8524, 4.8524, 2.6998], [4.8524, -4.8524, 2.6998], [4.8524, 4.8524, -2.6998]],
  "species": ["In", "Sb", "Sb", "Sb", "Sb", "Sb", "Sb", "Sb", "Sb"],
  "fractional_positions": [[0.0000, 0.0000, 0.0000], [0.3420, 0.6580, 0.0000], [0.6580, 0.3420, 0.0000], [0.0000, 0.3464, 0.3464], [0.6580, 0.6580, 0.3161], [0.3464, 0.0000, 0.3464], [0.3420, 0.3420, 0.6839], [0.0000, 0.6536, 0.6536], [0.6536, 0.0000, 0.6536]],
  "vol_a3_per_atom": 28.3,
  "sg": "I4/mmm (139)",
  "e_form_raw_ev_per_atom": 0.255,
  "crystal_system": "tetragonal",
  "energy_ry_per_atom": -0.2729
}

---

6.
{
  "formula": "Sr4InP",
  "functional": "GGA-PBE",
  "state": "optimized geometry",
  "cell": [[0.0000, 4.8630, 4.8630], [4.8630, 0.0000, 4.8630], [4.8630, 4.8630, 0.0000]],
  "species": ["Sr", "Sr", "Sr", "Sr", "In", "P"],
  "fractional_positions": [[0.8766, 0.3745, 0.3745], [0.3745, 0.3745, 0.8766], [0.3745, 0.8766, 0.3745], [0.3745, 0.3745, 0.3745], [0.7500, 0.7500, 0.7500], [0.0000, 0.0000, 0.0000]],
  "vol_a3_per_atom": 38.3,
  "sg": "F-43m (216)",
  "crystal_system": "cubic",
  "e_above_lowest_polymorph_ev_per_atom": 1.010,
  "energy_ry_per_atom": -0.1490
}